## Pu2ThZrAs4 (PBE)

Data for a relaxed structure of Pu2ThZrAs4.

Results
- Electronic total energy: -9.057 eV per atom
- Space-group type: No. 10
- Formation enthalpy at 0 K: -1153 meV/atom

abc: 7.086 4.116 7.128
angles: 90.00 109.49 90.00
Atoms (fractional coordinates):
Pu1 0.000 0.000 0.000
Pu2 0.000 0.500 0.500
Th1 0.500 0.000 0.500
Zr1 0.500 0.500 0.000
As1 0.250 0.500 0.236
As2 0.258 0.000 0.764
As3 0.742 0.000 0.236
As4 0.750 0.500 0.764